(1)
Below is a relaxed YErNi2 crystal, with properties calculated at the PBE-GGA level.

Cell and atoms, written as POSCAR:
```
YErNi2
1.0
-3.496 -1.011 1.998
2.034 -4.883 1.089
2.711 2.466 5.992
Y Er Ni
2 2 4
Cartesian
4.014 -2.275 5.875
1.112 0.205 2.050
-0.001 -3.082 2.753
0.871 -0.690 5.490
1.485 -3.446 5.170
2.523 -1.910 3.450
3.372 0.540 6.175
-1.390 -1.031 1.360
```

Final energy = -6.007 eV per atom
Total magnetization = 0.001 Bohr magnetons per cell
Theoretical density = 7.877 g cm⁻³

***

(2)
Below is a relaxed YErNi crystal, with properties calculated at the PBE-GGA level.

Cell and atoms, written as POSCAR:
```
YErNi
1.0
-3.729 2.349 1.695
-2.943 2.208 -2.959
-4.359 -1.680 -0.685
Er Ni Y
1 1 1
Cartesian
-2.758 0.719 -0.487
0.000 0.000 0.000
-8.274 2.158 -1.462
```

Final energy = -5.694 eV per atom
Total magnetization = 0.000 Bohr magnetons per cell
Theoretical density = 7.024 g cm⁻³

***

Q: Which of these has the lowest theoretical density?
A: YErNi

***

Q: What is the formula in the first record?
A: YErNi2